VASP calculation (PBE) on a relaxed Sr2NbMo crystal.

```
Sr2NbMo
1.0
-7.085 -4.846 -1.904
3.820 -2.653 -7.462
-0.476 -5.985 -3.296
Sr Mo Nb
4 2 2
Cartesian
-4.244 -4.976 -2.994
1.557 -3.641 -5.679
-1.675 -7.236 -5.801
-3.120 -11.116 -10.851
0.000 0.000 0.000
-4.597 -7.290 -4.941
-1.633 -3.749 -4.683
0.855 -6.194 -7.720
```

ΔE_f: 6.44 eV per formula unit
Energy above the most stable polymorph in this dataset: 17.8 meV per atom



VASP calculation (PBE) on a relaxed Pm2Zn3CoCu12 crystal.

```
Pm2Zn3CoCu12
1.0
-7.570 3.194 5.066
-6.800 -2.769 6.266
-3.220 1.394 8.992
Pm Zn Co Cu
2 3 1 12
Cartesian
-11.447 1.184 13.226
-6.143 0.635 7.098
-3.785 1.597 2.533
-3.400 -1.384 3.133
-1.610 0.697 4.496
0.000 0.000 0.000
-8.649 1.310 12.060
-14.478 0.883 13.677
-11.960 -0.158 15.949
-10.355 2.016 10.520
-12.406 3.292 15.254
-10.053 -0.321 10.991
-8.941 0.509 8.264
-3.112 0.936 6.647
-5.630 1.978 4.374
-7.236 -0.197 9.803
-5.184 -1.473 5.069
-7.537 2.141 9.332
```

ΔE_f: 2.84 eV per formula unit



| no. | total magnetic moment (μB per formula unit) |
| --- | --- |
| 1 | 1.73 |
| 2 | 0.55 |